Entry 1:
# PBE YTiCdHg, relaxed
data_YTiCdHg
_chemical_formula_sum 'Y1 Ti1 Cd1 Hg1'
_cell_length_a 5.041
_cell_length_b 5.041
_cell_length_c 5.041
_cell_angle_alpha 60.00
_cell_angle_beta 60.00
_cell_angle_gamma 60.00
_symmetry_space_group_name_H-M 'P 1'
_symmetry_Int_Tables_number 1
loop_
_symmetry_equiv_pos_as_xyz
'x,y,z'
loop_
_atom_site_label
_atom_site_type_symbol
_atom_site_fract_x
_atom_site_fract_y
_atom_site_fract_z
Y1 Y 0.000 0.000 0.000
Ti1 Ti 0.500 0.500 0.500
Cd1 Cd 0.250 0.250 0.250
Hg1 Hg 0.750 0.750 0.750
# Electronic total energy (eV per atom): -4.02
# Total moment (μB per cell): 1.65

=====

Entry 2:
# PBE Tl8CdHg6, relaxed
data_Tl8CdHg6
_chemical_formula_sum 'Tl8 Cd1 Hg6'
_cell_length_a 8.013
_cell_length_b 8.013
_cell_length_c 8.013
_cell_angle_alpha 72.11
_cell_angle_beta 72.11
_cell_angle_gamma 72.11
_symmetry_space_group_name_H-M 'P 1'
_symmetry_Int_Tables_number 1
loop_
_symmetry_equiv_pos_as_xyz
'x,y,z'
loop_
_atom_site_label
_atom_site_type_symbol
_atom_site_fract_x
_atom_site_fract_y
_atom_site_fract_z
Tl1 Tl 0.130 0.388 0.645
Tl2 Tl 0.248 0.248 0.248
Tl3 Tl 0.355 0.870 0.612
Tl4 Tl 0.388 0.645 0.130
Tl5 Tl 0.612 0.355 0.870
Tl6 Tl 0.645 0.130 0.388
Tl7 Tl 0.752 0.752 0.752
Tl8 Tl 0.870 0.612 0.355
Cd1 Cd 0.500 0.500 0.500
Hg1 Hg 0.084 0.895 0.347
Hg2 Hg 0.105 0.653 0.916
Hg3 Hg 0.347 0.084 0.895
Hg4 Hg 0.653 0.916 0.105
Hg5 Hg 0.895 0.347 0.084
Hg6 Hg 0.916 0.105 0.653
# Polymorph energy (0 for the lowest one) (kcal/mol of atoms): 0.458
# Total moment (μB per cell): 0.00

=====

Entry 3:
# PBE TlCd2Hg, relaxed
data_TlCd2Hg
_chemical_formula_sum 'Tl1 Cd2 Hg1'
_cell_length_a 4.972
_cell_length_b 4.972
_cell_length_c 4.201
_cell_angle_alpha 90.00
_cell_angle_beta 90.00
_cell_angle_gamma 90.00
_symmetry_space_group_name_H-M 'P 1'
_symmetry_Int_Tables_number 1
loop_
_symmetry_equiv_pos_as_xyz
'x,y,z'
loop_
_atom_site_label
_atom_site_type_symbol
_atom_site_fract_x
_atom_site_fract_y
_atom_site_fract_z
Tl1 Tl 0.000 0.000 0.000
Cd1 Cd 0.000 0.500 0.500
Cd2 Cd 0.500 0.000 0.500
Hg1 Hg 0.500 0.500 0.000
# Polymorph energy (0 for the lowest one) (kcal/mol of atoms): 0.362
# Total moment (μB per cell): 0.00

=====

Entry 4:
# PBE TlCd7Hg3, relaxed
data_TlCd7Hg3
_chemical_formula_sum 'Tl1 Cd7 Hg3'
_cell_length_a 7.602
_cell_length_b 7.602
_cell_length_c 5.865
_cell_angle_alpha 110.47
_cell_angle_beta 110.47
_cell_angle_gamma 95.22
_symmetry_space_group_name_H-M 'P 1'
_symmetry_Int_Tables_number 1
loop_
_symmetry_equiv_pos_as_xyz
'x,y,z'
loop_
_atom_site_label
_atom_site_type_symbol
_atom_site_fract_x
_atom_site_fract_y
_atom_site_fract_z
Tl1 Tl 0.000 0.000 0.000
Cd1 Cd 0.000 0.000 0.500
Cd2 Cd 0.093 0.565 0.829
Cd3 Cd 0.331 0.331 0.403
Cd4 Cd 0.435 0.907 0.171
Cd5 Cd 0.565 0.093 0.829
Cd6 Cd 0.669 0.669 0.597
Cd7 Cd 0.907 0.435 0.171
Hg1 Hg 0.260 0.740 0.500
Hg2 Hg 0.500 0.500 0.000
Hg3 Hg 0.740 0.260 0.500
# Electronic total energy (eV per atom): -0.80
# Total moment (μB per cell): 0.00

=====

Entry 5:
# PBE Tl5CdHg2, relaxed
data_Tl5CdHg2
_chemical_formula_sum 'Tl10 Cd2 Hg4'
_cell_length_a 6.535
_cell_length_b 6.535
_cell_length_c 20.884
_cell_angle_alpha 90.00
_cell_angle_beta 90.00
_cell_angle_gamma 148.69
_symmetry_space_group_name_H-M 'P 1'
_symmetry_Int_Tables_number 1
loop_
_symmetry_equiv_pos_as_xyz
'x,y,z'
loop_
_atom_site_label
_atom_site_type_symbol
_atom_site_fract_x
_atom_site_fract_y
_atom_site_fract_z
Tl1 Tl 0.049 0.951 0.750
Tl2 Tl 0.138 0.862 0.522
Tl3 Tl 0.138 0.862 0.978
Tl4 Tl 0.445 0.555 0.613
Tl5 Tl 0.445 0.555 0.887
Tl6 Tl 0.555 0.445 0.113
Tl7 Tl 0.555 0.445 0.387
Tl8 Tl 0.862 0.138 0.022
Tl9 Tl 0.862 0.138 0.478
Tl10 Tl 0.951 0.049 0.250
Cd1 Cd 0.321 0.679 0.750
Cd2 Cd 0.679 0.321 0.250
Hg1 Hg 0.285 0.715 0.145
Hg2 Hg 0.285 0.715 0.355
Hg3 Hg 0.715 0.285 0.645
Hg4 Hg 0.715 0.285 0.855
# Polymorph energy (0 for the lowest one) (kcal/mol of atoms): 0.000
# Total moment (μB per cell): 0.00

=====

Entry 6:
# PBE Tl3Cd5Hg12, relaxed
data_Tl3Cd5Hg12
_chemical_formula_sum 'Tl12 Cd20 Hg48'
_cell_length_a 15.147
_cell_length_b 15.147
_cell_length_c 15.147
_cell_angle_alpha 109.47
_cell_angle_beta 109.47
_cell_angle_gamma 109.47
_symmetry_space_group_name_H-M 'P 1'
_symmetry_Int_Tables_number 1
loop_
_symmetry_equiv_pos_as_xyz
'x,y,z'
loop_
_atom_site_label
_atom_site_type_symbol
_atom_site_fract_x
_atom_site_fract_y
_atom_site_fract_z
Tl1 Tl 0.125 0.250 0.375
Tl2 Tl 0.125 0.375 0.750
Tl3 Tl 0.250 0.375 0.125
Tl4 Tl 0.250 0.875 0.625
Tl5 Tl 0.375 0.125 0.250
Tl6 Tl 0.375 0.750 0.125
Tl7 Tl 0.625 0.250 0.875
Tl8 Tl 0.625 0.875 0.750
Tl9 Tl 0.750 0.125 0.375
Tl10 Tl 0.750 0.625 0.875
Tl11 Tl 0.875 0.625 0.250
Tl12 Tl 0.875 0.750 0.625
Cd1 Cd 0.000 0.000 0.000
Cd2 Cd 0.000 0.000 0.500
Cd3 Cd 0.000 0.500 0.000
Cd4 Cd 0.000 0.500 0.500
Cd5 Cd 0.125 0.750 0.875
Cd6 Cd 0.125 0.875 0.250
Cd7 Cd 0.250 0.125 0.875
Cd8 Cd 0.250 0.625 0.375
Cd9 Cd 0.375 0.250 0.625
Cd10 Cd 0.375 0.625 0.750
Cd11 Cd 0.500 0.000 0.000
Cd12 Cd 0.500 0.000 0.500
Cd13 Cd 0.500 0.500 0.000
Cd14 Cd 0.500 0.500 0.500
Cd15 Cd 0.625 0.375 0.250
Cd16 Cd 0.625 0.750 0.375
Cd17 Cd 0.750 0.375 0.625
Cd18 Cd 0.750 0.875 0.125
Cd19 Cd 0.875 0.125 0.750
Cd20 Cd 0.875 0.250 0.125
Hg1 Hg 0.053 0.227 0.120
Hg2 Hg 0.053 0.327 0.933
Hg3 Hg 0.067 0.620 0.394
Hg4 Hg 0.067 0.947 0.673
Hg5 Hg 0.106 0.727 0.673
Hg6 Hg 0.106 0.880 0.433
Hg7 Hg 0.120 0.053 0.227
Hg8 Hg 0.120 0.567 0.894
Hg9 Hg 0.173 0.227 0.606
Hg10 Hg 0.173 0.447 0.567
Hg11 Hg 0.227 0.120 0.053
Hg12 Hg 0.227 0.606 0.173
Hg13 Hg 0.273 0.327 0.894
Hg14 Hg 0.273 0.447 0.380
Hg15 Hg 0.327 0.894 0.273
Hg16 Hg 0.327 0.933 0.053
Hg17 Hg 0.380 0.273 0.447
Hg18 Hg 0.380 0.606 0.933
Hg19 Hg 0.394 0.067 0.620
Hg20 Hg 0.394 0.827 0.773
Hg21 Hg 0.433 0.106 0.880
Hg22 Hg 0.433 0.827 0.553
Hg23 Hg 0.447 0.380 0.273
Hg24 Hg 0.447 0.567 0.173
Hg25 Hg 0.553 0.433 0.827
Hg26 Hg 0.553 0.620 0.727
Hg27 Hg 0.567 0.173 0.447
Hg28 Hg 0.567 0.894 0.120
Hg29 Hg 0.606 0.173 0.227
Hg30 Hg 0.606 0.933 0.380
Hg31 Hg 0.620 0.394 0.067
Hg32 Hg 0.620 0.727 0.553
Hg33 Hg 0.673 0.067 0.947
Hg34 Hg 0.673 0.106 0.727
Hg35 Hg 0.727 0.553 0.620
Hg36 Hg 0.727 0.673 0.106
Hg37 Hg 0.773 0.394 0.827
Hg38 Hg 0.773 0.880 0.947
Hg39 Hg 0.827 0.553 0.433
Hg40 Hg 0.827 0.773 0.394
Hg41 Hg 0.880 0.433 0.106
Hg42 Hg 0.880 0.947 0.773
Hg43 Hg 0.894 0.120 0.567
Hg44 Hg 0.894 0.273 0.327
Hg45 Hg 0.933 0.053 0.327
Hg46 Hg 0.933 0.380 0.606
Hg47 Hg 0.947 0.673 0.067
Hg48 Hg 0.947 0.773 0.880
# Electronic total energy (eV per atom): -0.64
# Total moment (μB per cell): 0.00

=====

Entry 7:
# PBE TlCd2Hg, relaxed
data_TlCd2Hg
_chemical_formula_sum 'Tl1 Cd2 Hg1'
_cell_length_a 6.378
_cell_length_b 6.378
_cell_length_c 3.394
_cell_angle_alpha 104.61
_cell_angle_beta 104.61
_cell_angle_gamma 118.93
_symmetry_space_group_name_H-M 'P 1'
_symmetry_Int_Tables_number 1
loop_
_symmetry_equiv_pos_as_xyz
'x,y,z'
loop_
_atom_site_label
_atom_site_type_symbol
_atom_site_fract_x
_atom_site_fract_y
_atom_site_fract_z
Tl1 Tl 0.000 0.000 0.000
Cd1 Cd 0.000 0.500 0.500
Cd2 Cd 0.500 0.000 0.500
Hg1 Hg 0.500 0.500 0.000
# Polymorph energy (0 for the lowest one) (kcal/mol of atoms): 0.449
# Total moment (μB per cell): 0.00

=====

Entry 8:
# PBE TlCd2Hg2, relaxed
data_TlCd2Hg2
_chemical_formula_sum 'Tl1 Cd2 Hg2'
_cell_length_a 5.245
_cell_length_b 5.245
_cell_length_c 5.987
_cell_angle_alpha 105.55
_cell_angle_beta 105.55
_cell_angle_gamma 59.16
_symmetry_space_group_name_H-M 'P 1'
_symmetry_Int_Tables_number 1
loop_
_symmetry_equiv_pos_as_xyz
'x,y,z'
loop_
_atom_site_label
_atom_site_type_symbol
_atom_site_fract_x
_atom_site_fract_y
_atom_site_fract_z
Tl1 Tl 0.000 0.000 0.000
Cd1 Cd 0.384 0.384 0.256
Cd2 Cd 0.616 0.616 0.744
Hg1 Hg 0.270 0.270 0.694
Hg2 Hg 0.730 0.730 0.306
# Polymorph energy (0 for the lowest one) (kcal/mol of atoms): 0.351
# Total moment (μB per cell): 0.00